# 1
# NdEr7Mg4

A geometry-optimized NdEr7Mg4 structure (GGA-PBE, Alexandria via LeMat-Bulk).

The space group is C2/m (No. 12) and the conventional cell measures 13.492, 5.684 and 11.277 Å, with angles of 90.00, 123.50 and 90.00 degrees. The asymmetric unit holds Nd at (0.000, 0.000, 0.000), Er at (0.000, 0.500, 0.000), Er at (0.056, 0.000, 0.384), Er at (0.172, 0.500, 0.610), Er at (0.220, 0.000, 0.881), Mg at (0.065, 0.500, 0.784) and Mg at (0.188, 0.500, 0.334).

The final energy comes out at -3.354 eV per atom. The density of states at the Fermi level is 1.108 states/eV per atom. The calculation puts the mass density at 6.503 g/cm³. The formation energy comes out at 0.24 eV/atom.

=====

# 2
# Nd2ErMg

A geometry-optimized Nd2ErMg structure (GGA-PBE, Alexandria via LeMat-Bulk).

The space group is R-3m (No. 166, hexagonal axes) and the conventional cell measures 3.4978, 3.4978 and 37.4168 Å, with angles of 90.00, 90.00 and 120.00 degrees. The asymmetric unit holds Nd at (0.0000, 0.0000, 0.0896), Er at (0.0000, 0.0000, 0.5000) and Mg at (0.0000, 0.0000, 0.0000).

The final energy comes out at -3.744 eV per atom. The density of states at the Fermi level is 1.018 states/eV per atom. The calculation puts the mass density at 6.032 g/cm³. As for the offset from the most stable computed form: 207.8 meV/atom. The formation energy comes out at 0.18 eV/atom.

=====

# 3
# Nd2Er3Mg3

A geometry-optimized Nd2Er3Mg3 structure (GGA-PBE, Alexandria via LeMat-Bulk).

The space group is R3m (No. 160, hexagonal axes) and the conventional cell measures 5.4625, 5.4625 and 26.9506 Å, with angles of 90.00, 90.00 and 120.00 degrees. The asymmetric unit holds Nd at (0.0000, 0.0000, 0.0000), Nd at (0.0000, 0.0000, 0.4961), Er at (0.0000, 0.0000, 0.2434), Er at (0.0000, 0.0000, 0.6227), Er at (0.0000, 0.0000, 0.7502), Mg at (0.0000, 0.0000, 0.1227), Mg at (0.0000, 0.0000, 0.3698) and Mg at (0.0000, 0.0000, 0.8752).

The final energy comes out at -3.519 eV per atom. The density of states at the Fermi level is 1.171 states/eV per atom. The calculation puts the mass density at 6.174 g/cm³. The formation energy comes out at -0.02 eV/atom.

=====

# 4
# Nd10Er6Mg

A geometry-optimized Nd10Er6Mg structure (GGA-PBE, Alexandria via LeMat-Bulk).

The space group is P-31m (No. 162) and the conventional cell measures 9.7768, 9.7768 and 6.8797 Å, with angles of 90.00, 90.00 and 120.00 degrees. The asymmetric unit holds Nd at (0.0000, 0.2668, 0.1836), Nd at (0.3333, 0.6667, 0.0000), Nd at (0.3333, 0.6667, 0.5000), Er at (0.0000, 0.3722, 0.6890) and Mg at (0.0000, 0.0000, 0.5000).

The final energy comes out at -4.390 eV per atom. The density of states at the Fermi level is 1.488 states/eV per atom. The calculation puts the mass density at 7.203 g/cm³. The formation energy comes out at 0.12 eV/atom.